A plane-wave DFT calculation with PBE-GGA was carried out for NaGe2Au3 after structural relaxation.

**DFT total energy**: -42.47 eV per cell
**E_form**: -0.141 eV per atom
**Fermi-level density of states**: 3.17 states/eV per cell
**Polymorph energy (0 for the lowest one)**: 0.000 eV per atom

POSCAR file:
```
NaGe2Au3
1.0
-3.686 2.036 1.689
-3.300 -5.748 -6.366
1.574 -2.312 6.223
Au Na Ge
6 2 4
Direct
0.361 0.723 0.233
0.937 0.875 0.579
0.639 0.277 0.767
0.063 0.125 0.421
0.687 0.375 0.424
0.313 0.625 0.576
0.124 0.248 0.069
0.876 0.752 0.931
0.507 0.014 0.205
0.493 0.986 0.795
0.771 0.543 0.212
0.229 0.457 0.788
```

A plane-wave DFT calculation with PBE-GGA was carried out for Zr2CuF after structural relaxation.

**DFT total energy**: -25.40 eV per cell
**E_form (uncorrected)**: -0.584 eV/atom
**Fermi-level density of states**: 2.59 states/eV per cell
**Polymorph energy (0 for the lowest one)**: 0.000 eV per atom

POSCAR file:
```
Zr2CuF
1.0
-0.481 -0.738 4.457
-3.417 1.953 2.270
-3.453 -2.529 1.524
F Cu Zr
1 1 2
Direct
0.000 0.000 0.000
0.500 0.500 0.500
0.750 0.750 0.750
0.250 0.250 0.250
```

A plane-wave DFT calculation with PBE-GGA was carried out for ErScPa2Ru4 after structural relaxation.

**DFT total energy**: -71.27 eV per cell
**E_form**: -0.535 eV per atom
**Fermi-level density of states**: 3.88 states/eV per cell

POSCAR file:
```
ErScPa2Ru4
1.0
4.555 0.000 0.000
2.277 3.945 0.000
2.277 1.315 8.693
Ru Pa Sc Er
4 2 1 1
Direct
0.393 0.393 0.820
0.122 0.122 0.633
0.607 0.607 0.180
0.878 0.878 0.367
0.248 0.248 0.257
0.752 0.752 0.743
0.500 0.500 0.500
0.000 0.000 0.000
```

A plane-wave DFT calculation with PBE-GGA was carried out for FeCo2Cu after structural relaxation.

**DFT total energy**: -26.43 eV per cell
**E_form**: 0.085 eV per atom
**Fermi-level density of states**: 4.51 states/eV per cell

POSCAR file:
```
FeCo2Cu
1.0
2.478 0.401 0.000
-0.405 2.477 0.000
0.000 0.000 7.223
Co Fe Cu
2 1 1
Direct
0.000 0.000 0.008
0.500 0.500 0.239
0.500 0.500 0.757
0.000 0.000 0.496
```